#P
Here is HfAgS2N at its PBEsol-relaxed geometry from the Alexandria database. Energies are from meta-GGA SCAN.

## Properties
Its density is 6.06 g/cm3.

Cell: 4.935 4.935 4.098 Å, 90.00 90.00 90.00°
Space group P4/mmm (No. 123)
Symmetry-distinct sites (fractional):
Hf  0.000  0.000  0.000 [1 per cell]
Ag  0.500  0.500  0.500 [1 per cell]
S  0.000  0.500  0.000 [2 per cell]
N  0.000  0.000  0.500 [1 per cell]

#Q
Here is HfAgS2N at its PBEsol-relaxed geometry from the Alexandria database. Energies are from meta-GGA SCAN.

## Properties
Its density is 7.23 g/cm3.

Cell: 4.636 4.636 3.895 Å, 90.00 90.00 90.00°
Space group P4/mmm (No. 123)
Symmetry-distinct sites (fractional):
Hf  0.000  0.000  0.000 [1 per cell]
Ag  0.500  0.500  0.500 [1 per cell]
S  0.000  0.500  0.500 [2 per cell]
N  0.500  0.500  0.000 [1 per cell]

The most stable of them is #P.

#P
Here is InAg2Hg at its PBEsol-relaxed geometry from the Alexandria database. Energies are from meta-GGA SCAN.

## Properties
Its density is 11.61 g/cm3.

Cell: 4.229 4.229 8.497 Å, 90.00 90.00 90.00°
Space group I-4m2 (No. 119)
Symmetry-distinct sites (fractional):
In  0.000  0.000  0.000 [2 per cell]
Ag  0.000  0.000  0.500 [2 per cell]
Ag  0.000  0.500  0.250 [2 per cell]
Hg  0.000  0.500  0.750 [2 per cell]

#Q
Here is InAg2Hg at its PBEsol-relaxed geometry from the Alexandria database. Energies are from meta-GGA SCAN.

## Properties
Its density is 11.40 g/cm3.

Cell: 3.438 3.785 5.947 Å, 90.00 90.00 90.00°
Space group Pmm2 (No. 25)
Symmetry-distinct sites (fractional):
In  0.000  0.000  0.000 [1 per cell]
Ag  0.000  0.000  0.479 [1 per cell]
Ag  0.500  0.500  0.242 [1 per cell]
Hg  0.500  0.500  0.719 [1 per cell]

The most stable of them is #Q.

#P
Here is InAgHg at its PBEsol-relaxed geometry from the Alexandria database. Energies are from meta-GGA SCAN.

## Properties
Its density is 11.25 g/cm3.

Cell: 3.2269 3.2269 6.9295 Å, 90.00 90.00 120.00°
Space group P3m1 (No. 156)
Symmetry-distinct sites (fractional):
In  0.0000  0.0000  0.0000 [1 per cell]
Ag  0.3333  0.6667  0.6798 [1 per cell]
Hg  0.6667  0.3333  0.3598 [1 per cell]

#Q
Here is InAgHg at its PBEsol-relaxed geometry from the Alexandria database. Energies are from meta-GGA SCAN.

## Properties
Its density is 10.93 g/cm3.

Cell: 4.373 4.370 6.729 Å, 90.00 90.34 90.00°
Space group Cm (No. 8)
Symmetry-distinct sites (fractional):
In  0.000  0.000  0.000 [2 per cell]
Ag  0.005  0.500  0.288 [2 per cell]
Hg  0.010  0.000  0.584 [2 per cell]

The most stable of them is #Q.

#P
Here is KAgHg2 at its PBEsol-relaxed geometry from the Alexandria database. Energies are from meta-GGA SCAN.

## Properties
Its density is 8.06 g/cm3.

Cell: 8.352 4.805 6.270 Å, 90.00 116.07 90.00°
Space group C2/m (No. 12)
Symmetry-distinct sites (fractional):
K  0.000  0.000  0.000 [2 per cell]
Ag  0.000  0.500  0.500 [2 per cell]
Hg  0.206  0.000  0.619 [4 per cell]

#Q
Here is KAgHg2 at its PBEsol-relaxed geometry from the Alexandria database. Energies are from meta-GGA SCAN.

## Properties
Its density is 7.87 g/cm3.

Cell: 8.344 4.806 6.402 Å, 90.00 115.69 90.00°
Space group Cm (No. 8)
Symmetry-distinct sites (fractional):
K  0.000  0.000  0.000 [2 per cell]
Ag  0.193  0.000  0.577 [2 per cell]
Hg  0.040  0.500  0.619 [2 per cell]
Hg  0.299  0.500  0.394 [2 per cell]

The most stable of them is #P.